Here is a geometry-optimized Er2Ag structure from OQMD via LeMat-Bulk. Energies are from PBE.

Properties
**SG**: Fd-3m, No. 227
**Size of the total moment**: 0.01 μB per atom
**ΔE_f**: 1.448 eV/atom

Unit cell a=8.8553 b=8.8553 c=8.8553 alpha=60.00 beta=60.00 gamma=60.00
Element x y z (fractional)
Ag 0.2500 0.2500 0.2500
Ag 0.5000 0.5000 0.5000
Er 0.8750 0.3750 0.3750
Er 0.3750 0.8750 0.3750
Er 0.3750 0.3750 0.3750
Er 0.3750 0.3750 0.8750